This record from Alexandria describes a geometry-optimized HoMn2 structure. The functional is GGA-PBEsol.

Summary:
* ρ: 9.9 g/cm3
* energy of formation: 0.110 eV per atom
* symmetry: P6_3/mmc (194)

Cell and atoms, written as extended XYZ:
```
12
Lattice="5.215 0.000 0.000 -2.608 4.516 0.000 0.000 0.000 7.818" Properties=species:S:1:pos:R:3 pbc="T T T"
Ho 2.608 1.505 7.355
Mn 3.916 0.750 1.955
Ho 0.000 3.011 3.446
Mn 0.000 1.499 5.864
Mn 0.000 0.000 0.000
Mn 0.000 0.000 3.909
Ho 0.000 3.011 0.463
Mn -1.309 3.767 5.864
Ho 2.608 1.505 4.372
Mn 1.299 0.750 1.955
Mn 1.309 3.767 5.864
Mn 2.608 3.017 1.955
```